Crystalline TcSb2SeI at its relaxed geometry, computed with PBE.

abc: 5.4069 5.4069 5.6764
angles: 90.00 90.00 90.00
With the nearest neighbours (Å) after each atom.
Sites, in units of the cell vectors:
1 I 0.0000 0.0000 0.5000  2 Se 2.84
2 Sb 0.0000 0.5000 0.0000  2 Se 2.70
3 Sb 0.5000 0.0000 0.0000  2 Se 2.70
4 Tc 0.5000 0.5000 0.5000  4 I 3.82, 8 Sb 3.92
5 Se 0.0000 0.0000 0.0000  4 Sb 2.70, 2 I 2.84

Summary:
Raw formation energy   1319 meV per atom
ΔE to the lowest computed polymorph   1066 meV/atom
M_tot   0.6898 μB per atom
Energy   -17.052 eV per cell